A plane-wave DFT calculation with PBE was carried out for PtC2 after structural relaxation.

Computed properties:
E above lowest polymorph: 100.2 kJ/mol of atoms
Uncorrected energy: -6.80 eV/atom
ΔE_f: 1.3601 eV/atom

Lattice parameters (Å, degrees): 3.1745 3.7887 12.9954 90.00 90.00 90.00
Closest atoms and distances in Å follow each position.
Space group Immm (No. 71)
Asymmetric unit:
1 Pt 0.0000 0.0000 0.1635  6 C 2.08-2.18
2 C 0.0000 0.5000 0.2326  4 Pt 2.08-2.10
3 C 0.0000 0.5000 0.4510  1 C 1.27